A plane-wave DFT calculation with PBE+U was carried out for an optimized crystal structure of Rb2TmVF6.

Lattice parameters (Å, degrees): 6.0461 6.0518 10.7483 90.00 90.00 90.00
Last column: magnetic moment on the atom in μB.
Fractional coordinates of all 20 atoms:
Rb (0.5000, 0.7500, 0.2516)  0.01
Rb (0.0000, 0.2500, 0.7516)  0.01
Rb (0.5000, 0.7500, 0.7484)  0.01
Rb (0.0000, 0.2500, 0.2484)  0.01
Tm (0.5000, 0.2498, 0.5000)  0.02
Tm (0.0000, 0.7502, 0.0000)  0.02
V (0.0000, 0.7498, 0.5000)  3.17
V (0.5000, 0.2502, 0.0000)  3.17
F (0.5000, 0.2496, 0.3014)  0.01
F (0.5000, 0.2496, 0.6986)  0.01
F (0.0000, 0.7504, 0.1986)  0.01
F (0.0000, 0.7504, 0.8014)  0.01
F (0.2498, 0.9992, 0.5000)  0.01
F (0.7502, 0.9992, 0.5000)  0.01
F (0.2498, 0.5005, 0.5000)  0.01
F (0.7502, 0.5005, 0.5000)  0.01
F (0.7498, 0.4995, 0.0000)  0.01
F (0.2502, 0.4995, 0.0000)  0.01
F (0.2502, 0.0008, 0.0000)  0.01
F (0.7498, 0.0008, 0.0000)  0.01

Computed properties:
Energy: -5.503 eV/atom
Symmetry: No. 71
Size of the total moment: 0.40 μB per atom